The following is a GGA+U calculation of an optimized crystal structure of SiNiO2, from Alexandria via LeMat-Bulk.

Lattice parameters (Å, degrees): 4.829 4.833 5.117 76.73 78.25 68.40
Space group P1 (No. 1)
Inequivalent atoms, fractional coordinates:
Si: 0.000 0.000 0.000 (multiplicity 1)
Si: 0.415 0.410 0.970 (multiplicity 1)
Ni: 0.039 0.768 0.443 (multiplicity 1)
Ni: 0.637 0.774 0.240 (multiplicity 1)
O: 0.200 0.731 0.794 (multiplicity 1)
O: 0.270 0.142 0.005 (multiplicity 1)
O: 0.426 0.488 0.258 (multiplicity 1)
O: 0.760 0.282 0.807 (multiplicity 1)

## Properties
- D(E_F): 0.0 states/eV per cell
- Raw total energy: -6.013 eV/atom
- Total moment: 0.2500 μB per atom